# SmAl4Zn4 (PBE, optimized geometry)
# SG: I4/m (87)
# ΔH_f (0 K): -0.04 eV per atom
# Final energy: -2.798 eV/atom
# Spin magnetization: 0.000 μB per atom
data_SmAl4Zn4
_space_group_name_H-M_alt 'P 1'
_space_group_IT_number 1
_cell_length_a 4.9475
_cell_length_b 8.2254
_cell_length_c 8.2254
_cell_angle_alpha 90.00
_cell_angle_beta 90.00
_cell_angle_gamma 90.00
loop_
_space_group_symop_operation_xyz
'x,y,z'
loop_
_atom_site_label
_atom_site_type_symbol
_atom_site_fract_x
_atom_site_fract_y
_atom_site_fract_z
Zn1 Zn 0.4995 0.7740 0.8807
Sm1 Sm 0.5000 0.5000 0.5000
Al1 Al 0.4995 0.5751 0.1359
Al2 Al 0.9995 0.3641 0.0751
Al3 Al 0.4995 0.4249 0.8641
Zn2 Zn 0.0005 0.7260 0.6193
Zn3 Zn 0.9995 0.3807 0.7260
Al4 Al 0.0005 0.0751 0.6359
Zn4 Zn 0.9995 0.6193 0.2740
Sm2 Sm 0.0000 0.0000 0.0000
Zn5 Zn 0.5005 0.1193 0.7740
Al5 Al 0.0005 0.9249 0.3641
Zn6 Zn 0.0005 0.2740 0.3807
Al6 Al 0.9995 0.6359 0.9249
Al7 Al 0.5005 0.8641 0.5751
Zn7 Zn 0.5005 0.8807 0.2260
Zn8 Zn 0.4995 0.2260 0.1193
Al8 Al 0.5005 0.1359 0.4249